[1]
# Cr2FeAg

An optimized crystal structure of Cr2FeAg (PBE, the Alexandria database).

CIF file:
```
data_Cr2FeAg
_chemical_formula_sum 'Cr2 Fe1 Ag1'
_cell_length_a 2.676
_cell_length_b 3.559
_cell_length_c 5.474
_cell_angle_alpha 90.00
_cell_angle_beta 90.00
_cell_angle_gamma 90.00
_symmetry_space_group_name_H-M 'P m m m'
_symmetry_Int_Tables_number 47
loop_
_symmetry_equiv_pos_as_xyz
'x,y,z'
'-x,-y,-z'
'-x,-y,z'
'x,y,-z'
'x,-y,-z'
'-x,y,z'
'-x,y,-z'
'x,-y,z'
loop_
_atom_site_label
_atom_site_type_symbol
_atom_site_fract_x
_atom_site_fract_y
_atom_site_fract_z
Cr1 Cr 0.000 0.000 0.193
Fe1 Fe 0.500 0.500 0.000
Ag1 Ag 0.500 0.500 0.500
```

- Energy: -7.2080 eV per atom
- Formation energy: 0.432 eV per atom
- Mass density: 8.524 Mg/m³
- Excess energy over the best structure of this formula in the dataset: 0.0928 eV per atom


[2]
# Sm2CuGe2Rh5

An optimized crystal structure of Sm2CuGe2Rh5 (PBE, the Alexandria database).

CIF file:
```
data_Sm2CuGe2Rh5
_chemical_formula_sum 'Sm4 Cu2 Ge4 Rh10'
_cell_length_a 9.833
_cell_length_b 9.833
_cell_length_c 3.558
_cell_angle_alpha 90.00
_cell_angle_beta 90.00
_cell_angle_gamma 90.00
_symmetry_space_group_name_H-M 'P 4/m b m'
_symmetry_Int_Tables_number 127
_symmetry_space_group_name_Hall '-P 4 2ab'
loop_
_atom_site_label
_atom_site_type_symbol
_atom_site_fract_x
_atom_site_fract_y
_atom_site_fract_z
Sm1 Sm 0.174 0.326 0.000
Cu1 Cu 0.000 0.000 0.000
Ge1 Ge 0.126 0.626 0.000
Rh1 Rh 0.000 0.500 0.500
Rh2 Rh 0.065 0.796 0.500
```

- Energy: -6.5728 eV per atom
- Formation energy: -0.620 eV per atom
- Mass density: 9.887 Mg/m³


[3]
# LaBrF

An optimized crystal structure of LaBrF (PBE, the Alexandria database).

CIF file:
```
data_LaBrF
_chemical_formula_sum 'La1 Br1 F1'
_cell_length_a 4.3212
_cell_length_b 4.3212
_cell_length_c 4.1149
_cell_angle_alpha 90.00
_cell_angle_beta 90.00
_cell_angle_gamma 120.00
_symmetry_space_group_name_H-M 'P -6 m 2'
_symmetry_Int_Tables_number 187
_symmetry_space_group_name_Hall 'P -6 2'
loop_
_atom_site_label
_atom_site_type_symbol
_atom_site_fract_x
_atom_site_fract_y
_atom_site_fract_z
La1 La 0.0000 0.0000 0.0000
Br1 Br 0.3333 0.6667 0.5000
F1 F 0.6667 0.3333 0.0000
```

- Energy: -5.4517 eV per atom
- Mass density: 5.934 Mg/m³


[4]
# CrNiTe4

An optimized crystal structure of CrNiTe4 (PBE, the Alexandria database).

CIF file:
```
data_CrNiTe4
_chemical_formula_sum 'Cr4 Ni4 Te16'
_cell_length_a 8.850
_cell_length_b 8.850
_cell_length_c 8.850
_cell_angle_alpha 90.00
_cell_angle_beta 90.00
_cell_angle_gamma 90.00
_symmetry_space_group_name_H-M 'F -4 3 m'
_symmetry_Int_Tables_number 216
_symmetry_space_group_name_Hall 'F -4 2 3'
loop_
_atom_site_label
_atom_site_type_symbol
_atom_site_fract_x
_atom_site_fract_y
_atom_site_fract_z
Cr1 Cr 0.000 0.000 0.000
Ni1 Ni 0.250 0.250 0.750
Te1 Te 0.125 0.125 0.375
```

- Energy: -3.5972 eV per atom
- Mass density: 5.952 Mg/m³


[5]
# ScHgCl

An optimized crystal structure of ScHgCl (PBE, the Alexandria database).

CIF file:
```
data_ScHgCl
_chemical_formula_sum 'Sc4 Hg4 Cl4'
_cell_length_a 6.720
_cell_length_b 6.720
_cell_length_c 6.720
_cell_angle_alpha 90.00
_cell_angle_beta 90.00
_cell_angle_gamma 90.00
_symmetry_space_group_name_H-M 'F -4 3 m'
_symmetry_Int_Tables_number 216
_symmetry_space_group_name_Hall 'F -4 2 3'
loop_
_atom_site_label
_atom_site_type_symbol
_atom_site_fract_x
_atom_site_fract_y
_atom_site_fract_z
Sc1 Sc 0.000 0.000 0.000
Hg1 Hg 0.250 0.250 0.250
Cl1 Cl 0.250 0.250 0.750
```

- Energy: -3.2163 eV per atom
- Mass density: 6.149 Mg/m³
- Excess energy over the best structure of this formula in the dataset: 0.5270 eV per atom


[6]
# TaCuGe2

An optimized crystal structure of TaCuGe2 (PBE, the Alexandria database).

CIF file:
```
data_TaCuGe2
_chemical_formula_sum 'Ta4 Cu4 Ge8'
_cell_length_a 6.835
_cell_length_b 6.835
_cell_length_c 5.688
_cell_angle_alpha 90.00
_cell_angle_beta 90.00
_cell_angle_gamma 90.00
_symmetry_space_group_name_H-M 'I -4 2 d'
_symmetry_Int_Tables_number 122
_symmetry_space_group_name_Hall 'I -4 2bw'
loop_
_atom_site_label
_atom_site_type_symbol
_atom_site_fract_x
_atom_site_fract_y
_atom_site_fract_z
Ta1 Ta 0.000 0.000 0.000
Cu1 Cu 0.000 0.000 0.500
Ge1 Ge 0.216 0.250 0.625
```

- Energy: -5.9868 eV per atom
- Formation energy: 0.309 eV per atom
- Mass density: 9.742 Mg/m³


[7]
# Pr3Nd4Sb4

An optimized crystal structure of Pr3Nd4Sb4 (PBE, the Alexandria database).

CIF file:
```
data_Pr3Nd4Sb4
_chemical_formula_sum 'Pr6 Nd8 Sb8'
_cell_length_a 4.202
_cell_length_b 9.244
_cell_length_c 18.116
_cell_angle_alpha 90.00
_cell_angle_beta 90.00
_cell_angle_gamma 90.00
_symmetry_space_group_name_H-M 'I m m m'
_symmetry_Int_Tables_number 71
_symmetry_space_group_name_Hall '-I 2 2'
loop_
_atom_site_label
_atom_site_type_symbol
_atom_site_fract_x
_atom_site_fract_y
_atom_site_fract_z
Pr1 Pr 0.000 0.000 0.000
Pr2 Pr 0.000 0.500 0.096
Nd1 Nd 0.000 0.325 0.330
Sb1 Sb 0.000 0.000 0.270
Sb2 Sb 0.000 0.216 0.500
```

- Energy: -5.3702 eV per atom
- Mass density: 7.017 Mg/m³


[8]
# GaAg2SeBr

An optimized crystal structure of GaAg2SeBr (PBE, the Alexandria database).

CIF file:
```
data_GaAg2SeBr
_chemical_formula_sum 'Ga1 Ag2 Se1 Br1'
_cell_length_a 5.109
_cell_length_b 5.109
_cell_length_c 5.816
_cell_angle_alpha 90.00
_cell_angle_beta 90.00
_cell_angle_gamma 90.00
_symmetry_space_group_name_H-M 'P 4/m m m'
_symmetry_Int_Tables_number 123
_symmetry_space_group_name_Hall '-P 4 2'
loop_
_atom_site_label
_atom_site_type_symbol
_atom_site_fract_x
_atom_site_fract_y
_atom_site_fract_z
Ga1 Ga 0.000 0.000 0.000
Ag1 Ag 0.000 0.500 0.500
Se1 Se 0.500 0.500 0.000
Br1 Br 0.500 0.500 0.500
```

- Energy: -2.2057 eV per atom
- Mass density: 4.861 Mg/m³


What is the formula in the sixth record? TaCuGe2


Which value of mass density does entry 6 give? 9.742 Mg/m³